No. 1
! Na3SbC | Alexandria | meta-GGA SCAN | single point on PBEsol structure; values from VASP
&SYSTEM
  ibrav = 0, nat = 5, ntyp = 3
/
ATOMIC_SPECIES
Na 22.99 Na.upf
C 12.01 C.upf
Sb 121.76 Sb.upf
CELL_PARAMETERS angstrom
-1.1661 -0.1149 4.7743
-4.4538 -1.7476 -1.1299
1.7236 -4.5935 0.3105
ATOMIC_POSITIONS crystal
Na 0.0000 0.0000 0.5000
Na 0.0000 0.5000 0.0000
Na 0.5000 0.0000 0.0000
C 0.0000 0.0000 0.0000
Sb 0.5000 0.5000 0.5000
! E_form (uncorrected) (eV per atom): 0.647
! Spin magnetization (μB per cell): 2.00
! SG: Pm-3m


No. 2
! NaY2TcC | Alexandria | meta-GGA SCAN | single point on PBEsol structure; values from VASP
&SYSTEM
  ibrav = 0, nat = 5, ntyp = 4
/
ATOMIC_SPECIES
C 12.01 C.upf
Y 88.91 Y.upf
Na 22.99 Na.upf
Tc 98.00 Tc.upf
CELL_PARAMETERS angstrom
-3.2387 3.0360 -0.6890
-3.0122 -2.6087 2.6636
1.4000 2.3823 3.9164
ATOMIC_POSITIONS crystal
C 0.0000 0.0000 0.0000
Y 0.0000 0.5000 0.0000
Y 0.0000 0.0000 0.5000
Na 0.5000 0.0000 0.0000
Tc 0.5000 0.5000 0.5000
! Electronic total energy (eV per atom): -20.45
! Spin magnetization (μB per cell): 2.36
! SG: P4/mmm


No. 3
! NaTiC2 | Alexandria | meta-GGA SCAN | single point on PBEsol structure; values from VASP
&SYSTEM
  ibrav = 0, nat = 4, ntyp = 3
/
ATOMIC_SPECIES
C 12.01 C.upf
Na 22.99 Na.upf
Ti 47.87 Ti.upf
CELL_PARAMETERS angstrom
3.8710 0.0000 0.0000
1.9355 3.3523 0.0000
1.9355 1.1174 3.1606
ATOMIC_POSITIONS crystal
C 0.7500 0.7500 0.7500
C 0.2500 0.2500 0.2500
Na 0.0000 0.0000 0.0000
Ti 0.5000 0.5000 0.5000
! Electronic total energy (eV per atom): -8.85
! Spin magnetization (μB per cell): 0.00
! SG: Fm-3m


No. 4
! Na2TlC | Alexandria | meta-GGA SCAN | single point on PBEsol structure; values from VASP
&SYSTEM
  ibrav = 0, nat = 8, ntyp = 3
/
ATOMIC_SPECIES
Na 22.99 Na.upf
C 12.01 C.upf
Tl 204.38 Tl.upf
CELL_PARAMETERS angstrom
-0.5880 3.7381 1.3787
-2.1870 0.8621 -3.2701
-6.6024 -5.2418 5.5138
ATOMIC_POSITIONS crystal
Na 0.4230 0.8750 0.2500
Na 0.8270 0.3750 0.2500
Na 0.6250 0.5770 0.7500
Na 0.1250 0.1730 0.7500
C 0.7500 0.2500 0.5000
C 0.5000 0.5000 0.0000
Tl 0.2500 0.7500 0.5000
Tl 0.0000 0.0000 0.0000
! Electronic total energy (eV per atom): -21.50
! Spin magnetization (μB per cell): 0.00
! SG: I-42d


No. 5
! NaWC2 | Alexandria | meta-GGA SCAN | single point on PBEsol structure; values from VASP
&SYSTEM
  ibrav = 0, nat = 4, ntyp = 3
/
ATOMIC_SPECIES
Na 22.99 Na.upf
W 183.84 W.upf
C 12.01 C.upf
CELL_PARAMETERS angstrom
3.8515 0.0000 0.0000
1.9257 3.3355 0.0000
1.9257 1.1118 3.1447
ATOMIC_POSITIONS crystal
Na 0.0000 0.0000 0.0000
W 0.5000 0.5000 0.5000
C 0.2500 0.2500 0.2500
C 0.7500 0.7500 0.7500
! Electronic total energy (eV per atom): -21.72
! Spin magnetization (μB per cell): 0.45
! SG: Fm-3m


No. 6
! Nb4C3 | Alexandria | meta-GGA SCAN | single point on PBEsol structure; values from VASP
&SYSTEM
  ibrav = 0, nat = 7, ntyp = 2
/
ATOMIC_SPECIES
C 12.01 C.upf
Nb 92.91 Nb.upf
CELL_PARAMETERS angstrom
-2.8274 1.1777 0.6768
-2.3546 -1.9216 0.7760
0.9198 0.4698 10.2935
ATOMIC_POSITIONS crystal
C 0.2472 0.2472 0.2585
C 0.7528 0.7528 0.7415
C 0.0000 0.0000 0.0000
Nb 0.8754 0.8754 0.3739
Nb 0.6228 0.6228 0.1315
Nb 0.1246 0.1246 0.6261
Nb 0.3772 0.3772 0.8685
! Spin magnetization (μB per cell): 0.00
! Relative energy among the computed polymorphs (eV/f.u.): 0.00
! SG: R-3m


No. 7
! Nb4C3 | Alexandria | meta-GGA SCAN | single point on PBEsol structure; values from VASP
&SYSTEM
  ibrav = 0, nat = 7, ntyp = 2
/
ATOMIC_SPECIES
Nb 92.91 Nb.upf
C 12.01 C.upf
CELL_PARAMETERS angstrom
3.1310 0.0000 0.0000
1.5655 2.7115 0.0000
1.5655 0.9038 10.2126
ATOMIC_POSITIONS crystal
Nb 0.2057 0.2057 0.3830
Nb 0.3753 0.3753 0.8740
Nb 0.7909 0.7909 0.6273
Nb 0.6265 0.6265 0.1205
C 0.0042 0.0042 0.9874
C 0.9156 0.9156 0.2531
C 0.4967 0.4967 0.5098
! Spin magnetization (μB per cell): 0.00
! Relative energy among the computed polymorphs (eV/f.u.): 0.21
! SG: R3m


No. 8
! Nb3Ni3C | Alexandria | meta-GGA SCAN | single point on PBEsol structure; values from VASP
&SYSTEM
  ibrav = 0, nat = 28, ntyp = 3
/
ATOMIC_SPECIES
Nb 92.91 Nb.upf
Ni 58.69 Ni.upf
C 12.01 C.upf
CELL_PARAMETERS angstrom
-7.8526 0.0569 -1.3382
-4.0669 -6.8482 -0.1365
-5.0587 -1.7465 5.9005
ATOMIC_POSITIONS crystal
Nb 0.5522 0.9478 0.9478
Nb 0.3022 0.3022 0.6978
Nb 0.5522 0.9478 0.5522
Nb 0.6978 0.3022 0.3022
Nb 0.3022 0.6978 0.3022
Nb 0.3022 0.6978 0.6978
Nb 0.9478 0.5522 0.9478
Nb 0.9478 0.5522 0.5522
Nb 0.6978 0.6978 0.3022
Nb 0.6978 0.3022 0.6978
Nb 0.5522 0.5522 0.9478
Nb 0.9478 0.9478 0.5522
Ni 0.3304 0.3304 0.3304
Ni 0.9196 0.2413 0.9196
Ni 0.1250 0.6250 0.1250
Ni 0.9196 0.9196 0.2413
Ni 0.1250 0.1250 0.1250
Ni 0.3304 0.0087 0.3304
Ni 0.1250 0.1250 0.6250
Ni 0.9196 0.9196 0.9196
Ni 0.0087 0.3304 0.3304
Ni 0.3304 0.3304 0.0087
Ni 0.2413 0.9196 0.9196
Ni 0.6250 0.1250 0.1250
C 0.6250 0.1250 0.6250
C 0.1250 0.6250 0.6250
C 0.6250 0.6250 0.6250
C 0.6250 0.6250 0.1250
! Electronic total energy (eV per atom): -22.86
! Spin magnetization (μB per cell): 0.01
! SG: Fd-3m


no.,ρ (Mg/m³)
1,2.8
2,5.0
3,3.8
4,5.6
5,9.5
6,7.8
7,7.8
8,8.7